The following is a DFT calculation (PBE) of a geometry-optimized RbHfSb2Au structure.

Lattice parameters (Å, degrees): 5.3860 5.3860 9.6477 90.00 90.00 90.00
Atoms (fractional coordinates):
Rb1 0.0000 0.0000 0.0000
Hf1 0.0000 0.0000 0.5000
Sb1 0.0000 0.5000 0.5000
Sb2 0.5000 0.0000 0.5000
Au1 0.5000 0.5000 0.0000

Energy relative to the elements, uncorrected   0.443 eV/atom
Total energy   -20.23 eV per cell
ρ   4.2 g/cm3
M_tot   0.00 μB/f.u.